1.
Entry from Alexandria: a relaxed CrBr crystal (PBE).

a = 7.6068 Å, b = 7.6068 Å, c = 6.6421 Å
α = 58.29°, β = 58.29°, γ = 25.83°
Sites, in units of the cell vectors:
Cr 0.3044 0.3044 0.0176
Cr 0.1205 0.1205 0.4856
Cr 0.7715 0.7715 0.4067
Br 0.9594 0.9594 0.9197
Br 0.6494 0.6494 0.1121
Br 0.3615 0.3615 0.5583

E_form (uncorrected) (eV per atom): 0.02

2.
Entry from Alexandria: a relaxed ZnRe3 crystal (PBE).

a = 2.7982 Å, b = 4.7637 Å, c = 4.7637 Å
α = 111.17°, β = 90.00°, γ = 90.00°
Sites, in units of the cell vectors:
Re 0.0000 0.0000 0.0000
Re 0.5000 0.0000 0.5000
Re 0.5000 0.5000 0.0000
Zn 0.0000 0.5000 0.5000

ΔE_f (meV per atom): 327

3.
Entry from Alexandria: a relaxed YAlZn crystal (PBE).

a = 4.7893 Å, b = 4.7893 Å, c = 4.7893 Å
α = 60.00°, β = 60.00°, γ = 60.00°
Sites, in units of the cell vectors:
Y 0.5000 0.5000 0.5000
Zn 0.7500 0.7500 0.7500
Al 0.2500 0.2500 0.2500

ΔE_f (meV per atom): 251

4.
Entry from Alexandria: a relaxed MgIn2Cl8 crystal (PBE).

a = 8.7574 Å, b = 9.8548 Å, c = 10.4632 Å
α = 75.84°, β = 65.26°, γ = 63.62°
Sites, in units of the cell vectors:
Mg 0.9950 0.7500 0.2500
Mg 0.0050 0.2500 0.7500
In 0.8225 0.8795 0.9706
In 0.3273 0.3795 0.4706
In 0.6727 0.6205 0.5294
In 0.1775 0.1205 0.0294
Cl 0.3670 0.7299 0.5476
Cl 0.1261 0.9428 0.2315
Cl 0.7138 0.9608 0.2051
Cl 0.1791 0.2113 0.4900
Cl 0.2862 0.0392 0.7949
Cl 0.8804 0.2887 0.0100
Cl 0.8209 0.7887 0.5100
Cl 0.1204 0.4608 0.7051
Cl 0.1196 0.7113 0.9900
Cl 0.6445 0.7701 0.9524
Cl 0.6997 0.4428 0.7315
Cl 0.3003 0.5572 0.2685
Cl 0.3555 0.2299 0.0476
Cl 0.8796 0.5392 0.2949
Cl 0.6330 0.2701 0.4524
Cl 0.8739 0.0572 0.7685

E_form (uncorrected) (eV per atom): -1.25

5.
Entry from Alexandria: a relaxed KSbTe2I crystal (PBE).

a = 6.0403 Å, b = 6.0403 Å, c = 5.9339 Å
α = 90.00°, β = 90.00°, γ = 90.00°
Sites, in units of the cell vectors:
I 0.0000 0.0000 0.0000
Sb 0.0000 0.0000 0.5000
K 0.5000 0.5000 0.5000
Te 0.0000 0.5000 0.0000
Te 0.5000 0.0000 0.0000

E_form (uncorrected) (eV per atom): 0.32

6.
Entry from Alexandria: a relaxed K2Rb4Br crystal (PBE).

a = 6.8133 Å, b = 6.8133 Å, c = 12.8244 Å
α = 74.60°, β = 74.60°, γ = 90.00°
Sites, in units of the cell vectors:
K 0.6613 0.6613 0.6775
K 0.3387 0.3387 0.3225
Br 0.0000 0.0000 0.0000
Rb 0.8500 0.8500 0.2999
Rb 0.1500 0.1500 0.7001
Rb 0.0000 0.5000 0.0000
Rb 0.5000 0.0000 0.0000

E_form (uncorrected) (eV per atom): -0.42

7.
Entry from Alexandria: a relaxed NdTm3Ga2 crystal (PBE).

a = 5.0885 Å, b = 9.0905 Å, c = 8.7988 Å
α = 124.39°, β = 90.00°, γ = 106.25°
Sites, in units of the cell vectors:
Nd 0.8687 0.7375 0.9259
Nd 0.1313 0.2625 0.0741
Tm 0.3122 0.6244 0.6116
Tm 0.9364 0.8727 0.5894
Tm 0.6196 0.2392 0.7289
Tm 0.3804 0.7608 0.2711
Tm 0.0636 0.1273 0.4106
Tm 0.6878 0.3756 0.3884
Ga 0.5124 0.0247 0.8736
Ga 0.4876 0.9753 0.1264
Ga 0.7756 0.5512 0.1663
Ga 0.2244 0.4488 0.8337

ΔE_f (meV per atom): -333

8.
Entry from Alexandria: a relaxed PbI crystal (PBE).

a = 5.1088 Å, b = 12.7977 Å, c = 7.4831 Å
α = 90.00°, β = 90.00°, γ = 90.00°
Sites, in units of the cell vectors:
Pb 0.0000 0.2530 0.8513
Pb 0.0000 0.7470 0.8513
Pb 0.0000 0.7530 0.3513
Pb 0.0000 0.2470 0.3513
Pb 0.0000 0.0000 0.9020
Pb 0.0000 0.5000 0.4020
I 0.5000 0.8380 0.6247
I 0.5000 0.1620 0.6247
I 0.5000 0.3380 0.1247
I 0.5000 0.6620 0.1247
I 0.5000 0.0000 0.1479
I 0.5000 0.5000 0.6479

E_form (uncorrected) (eV per atom): -0.26

Respective magnetization values: 0.617 0.000 0.000 0.019 0.253 0.000 0.005 0.000 μB per atom.